No. 1
Computed, not measured: a relaxed structure of Mn2MoP at the GGA-PBEsol level of DFT.

CIF file:
```
data_Mn2MoP
_chemical_formula_sum 'Mn4 Mo2 P2'
_space_group_name_H-M_alt 'C 1 2/m 1'
_space_group_IT_number 12
_space_group_name_Hall '-C 2y'
_cell_length_a 4.950
_cell_length_b 8.088
_cell_length_c 2.674
_cell_angle_alpha 90.00
_cell_angle_beta 115.86
_cell_angle_gamma 90.00
loop_
_atom_site_label
_atom_site_fract_x
_atom_site_fract_y
_atom_site_fract_z
Mn1 0.250 0.250 0.000
Mo1 0.000 0.000 0.500
P1 0.000 0.500 0.500
```

Computed properties:
N(E_F) = 7.69 states/eV per cell
E_tot = -73.83 eV for the cell shown
ΔE_f = 0.2 eV per formula unit

***

No. 2
Computed, not measured: a relaxed structure of BaCrSb2 at the GGA-PBEsol level of DFT.

CIF file:
```
data_BaCrSb2
_chemical_formula_sum 'Ba1 Cr1 Sb2'
_space_group_name_H-M_alt 'P 4/m m m'
_space_group_IT_number 123
_space_group_name_Hall '-P 4 2'
_cell_length_a 4.895
_cell_length_b 4.895
_cell_length_c 4.644
_cell_angle_alpha 90.00
_cell_angle_beta 90.00
_cell_angle_gamma 90.00
loop_
_atom_site_label
_atom_site_fract_x
_atom_site_fract_y
_atom_site_fract_z
Ba1 0.000 0.000 0.000
Cr1 0.500 0.500 0.000
Sb1 0.000 0.500 0.500
```

Computed properties:
raw formation energy = 0.0406 eV/atom
N(E_F) = 2.56 states/eV per cell
E_tot = -21.34 eV for the cell shown

***

No. 3
Computed, not measured: a relaxed structure of LiIrF2 at the GGA-PBEsol level of DFT.

CIF file:
```
data_LiIrF2
_chemical_formula_sum 'Li3 Ir3 F6'
_space_group_name_H-M_alt 'R -3 m'
_space_group_IT_number 166
_space_group_name_Hall '-R 3 2"'
_cell_length_a 2.7083
_cell_length_b 2.7083
_cell_length_c 18.6714
_cell_angle_alpha 90.00
_cell_angle_beta 90.00
_cell_angle_gamma 120.00
loop_
_atom_site_label
_atom_site_fract_x
_atom_site_fract_y
_atom_site_fract_z
Li1 0.0000 0.0000 0.0000
Ir1 0.0000 0.0000 0.5000
F1 0.0000 0.0000 0.3925
```

Computed properties:
raw formation energy = -1.7786 eV/atom
N(E_F) = 5.55 states/eV per cell
E_tot = -68.28 eV for the cell shown
distance to the lowest polymorph of the same formula = 0.0 meV/atom

***

No. 4
Computed, not measured: a relaxed structure of KTaAs2Se at the GGA-PBEsol level of DFT.

CIF file:
```
data_KTaAs2Se
_chemical_formula_sum 'K1 Ta1 As2 Se1'
_space_group_name_H-M_alt 'P 4/m m m'
_space_group_IT_number 123
_space_group_name_Hall '-P 4 2'
_cell_length_a 4.999
_cell_length_b 4.999
_cell_length_c 5.092
_cell_angle_alpha 90.00
_cell_angle_beta 90.00
_cell_angle_gamma 90.00
loop_
_atom_site_label
_atom_site_fract_x
_atom_site_fract_y
_atom_site_fract_z
K1 0.000 0.000 0.000
Ta1 0.500 0.500 0.500
As1 0.000 0.500 0.500
Se1 0.500 0.500 0.000
```

Computed properties:
raw formation energy = -0.2924 eV/atom
N(E_F) = 2.65 states/eV per cell
E_tot = -29.21 eV for the cell shown

***

No. 5
Computed, not measured: a relaxed structure of FeCuOs2 at the GGA-PBEsol level of DFT.

CIF file:
```
data_FeCuOs2
_chemical_formula_sum 'Fe4 Cu4 Os8'
_space_group_name_H-M_alt 'F m -3 m'
_space_group_IT_number 225
_space_group_name_Hall '-F 4 2 3'
_cell_length_a 5.855
_cell_length_b 5.855
_cell_length_c 5.855
_cell_angle_alpha 90.00
_cell_angle_beta 90.00
_cell_angle_gamma 90.00
loop_
_atom_site_label
_atom_site_fract_x
_atom_site_fract_y
_atom_site_fract_z
Fe1 0.000 0.000 0.000
Cu1 0.000 0.000 0.500
Os1 0.250 0.250 0.250
```

Computed properties:
N(E_F) = 11.55 states/eV per cell
E_tot = -144.96 eV for the cell shown
distance to the lowest polymorph of the same formula = 140.4 meV/atom
ΔE_f = 1.5 eV per formula unit

***

No. 6
Computed, not measured: a relaxed structure of CrMo3 at the GGA-PBEsol level of DFT.

CIF file:
```
data_CrMo3
_chemical_formula_sum 'Cr1 Mo3'
_space_group_name_H-M_alt 'P 4/m m m'
_space_group_IT_number 123
_space_group_name_Hall '-P 4 2'
_cell_length_a 4.323
_cell_length_b 4.323
_cell_length_c 3.068
_cell_angle_alpha 90.00
_cell_angle_beta 90.00
_cell_angle_gamma 90.00
loop_
_atom_site_label
_atom_site_fract_x
_atom_site_fract_y
_atom_site_fract_z
Cr1 0.000 0.000 0.000
Mo1 0.000 0.500 0.500
Mo2 0.500 0.500 0.000
```

Computed properties:
N(E_F) = 2.51 states/eV per cell
E_tot = -45.27 eV for the cell shown
ΔE_f = 0.3 eV per formula unit

***

No. 7
Computed, not measured: a relaxed structure of CdBi2B2 at the GGA-PBEsol level of DFT.

CIF file:
```
data_CdBi2B2
_chemical_formula_sum 'Cd2 Bi4 B4'
_space_group_name_H-M_alt 'P 4/m b m'
_space_group_IT_number 127
_space_group_name_Hall '-P 4 2ab'
_cell_length_a 7.342
_cell_length_b 7.342
_cell_length_c 3.764
_cell_angle_alpha 90.00
_cell_angle_beta 90.00
_cell_angle_gamma 90.00
loop_
_atom_site_label
_atom_site_fract_x
_atom_site_fract_y
_atom_site_fract_z
Cd1 0.000 0.000 0.000
Bi1 0.227 0.273 0.500
B1 0.078 0.422 0.000
```

Computed properties:
N(E_F) = 4.77 states/eV per cell
E_tot = -39.59 eV for the cell shown
ΔE_f = 4.0 eV per formula unit

***

No. 8
Computed, not measured: a relaxed structure of TeSe at the GGA-PBEsol level of DFT.

CIF file:
```
data_TeSe
_chemical_formula_sum 'Te4 Se4'
_space_group_name_H-M_alt 'C m c m'
_space_group_IT_number 63
_space_group_name_Hall '-C 2c 2'
_cell_length_a 5.897
_cell_length_b 8.299
_cell_length_c 4.284
_cell_angle_alpha 90.00
_cell_angle_beta 90.00
_cell_angle_gamma 90.00
loop_
_atom_site_label
_atom_site_fract_x
_atom_site_fract_y
_atom_site_fract_z
Te1 0.000 0.131 0.250
Se1 0.000 0.378 0.750
```

Computed properties:
raw formation energy = 0.0384 eV/atom
N(E_F) = 4.59 states/eV per cell
E_tot = -29.20 eV for the cell shown

***

No. 9
Computed, not measured: a relaxed structure of CrCo2Ru at the GGA-PBEsol level of DFT.

CIF file:
```
data_CrCo2Ru
_chemical_formula_sum 'Cr1 Co2 Ru1'
_space_group_name_H-M_alt 'P 4/m m m'
_space_group_IT_number 123
_space_group_name_Hall '-P 4 2'
_cell_length_a 3.504
_cell_length_b 3.504
_cell_length_c 3.599
_cell_angle_alpha 90.00
_cell_angle_beta 90.00
_cell_angle_gamma 90.00
loop_
_atom_site_label
_atom_site_fract_x
_atom_site_fract_y
_atom_site_fract_z
Cr1 0.000 0.000 0.000
Co1 0.000 0.500 0.500
Ru1 0.500 0.500 0.000
```

Computed properties:
N(E_F) = 4.52 states/eV per cell
E_tot = -35.74 eV for the cell shown
distance to the lowest polymorph of the same formula = 0.0 meV/atom
ΔE_f = 0.1 eV per formula unit

***

No. 10
Computed, not measured: a relaxed structure of LiFePt2 at the GGA-PBEsol level of DFT.

CIF file:
```
data_LiFePt2
_chemical_formula_sum 'Li1 Fe1 Pt2'
_space_group_name_H-M_alt 'P m m m'
_space_group_IT_number 47
_space_group_name_Hall '-P 2 2'
_cell_length_a 2.719
_cell_length_b 3.513
_cell_length_c 5.529
_cell_angle_alpha 90.00
_cell_angle_beta 90.00
_cell_angle_gamma 90.00
loop_
_atom_site_label
_atom_site_fract_x
_atom_site_fract_y
_atom_site_fract_z
Li1 0.000 0.000 0.000
Fe1 0.000 0.000 0.500
Pt1 0.500 0.500 0.247
```

Computed properties:
N(E_F) = 2.06 states/eV per cell
E_tot = -26.14 eV for the cell shown
ΔE_f = -1.3 eV per formula unit

***

No. 11
Computed, not measured: a relaxed structure of MgZrRh2 at the GGA-PBEsol level of DFT.

CIF file:
```
data_MgZrRh2
_chemical_formula_sum 'Mg2 Zr2 Rh4'
_space_group_name_H-M_alt 'I -4 m 2'
_space_group_IT_number 119
_space_group_name_Hall 'I -4 -2'
_cell_length_a 3.769
_cell_length_b 3.769
_cell_length_c 8.967
_cell_angle_alpha 90.00
_cell_angle_beta 90.00
_cell_angle_gamma 90.00
loop_
_atom_site_label
_atom_site_fract_x
_atom_site_fract_y
_atom_site_fract_z
Mg1 0.000 0.000 0.000
Zr1 0.000 0.500 0.750
Rh1 0.000 0.000 0.500
Rh2 0.000 0.500 0.250
```

Computed properties:
N(E_F) = 6.05 states/eV per cell
E_tot = -58.74 eV for the cell shown
ΔE_f = -2.3 eV per formula unit

***

No. 12
Computed, not measured: a relaxed structure of TcAuI2 at the GGA-PBEsol level of DFT.

CIF file:
```
data_TcAuI2
_chemical_formula_sum 'Tc4 Au4 I8'
_space_group_name_H-M_alt 'F m -3 m'
_space_group_IT_number 225
_space_group_name_Hall '-F 4 2 3'
_cell_length_a 6.924
_cell_length_b 6.924
_cell_length_c 6.924
_cell_angle_alpha 90.00
_cell_angle_beta 90.00
_cell_angle_gamma 90.00
loop_
_atom_site_label
_atom_site_fract_x
_atom_site_fract_y
_atom_site_fract_z
Tc1 0.000 0.000 0.000
Au1 0.000 0.000 0.500
I1 0.250 0.250 0.250
```

Computed properties:
raw formation energy = 0.9031 eV/atom
N(E_F) = 5.20 states/eV per cell
E_tot = -60.45 eV for the cell shown

***

Which of these has the highest E_tot?
BaCrSb2